Record 1
First-principles (PBE) data for crystalline LiAg2Br at its relaxed geometry, as listed in Alexandria via LeMat-Bulk.

Geometry as POSCAR:
```
LiAg2Br
1.0
1.666 -2.674 0.000
1.666 2.674 0.000
0.000 0.000 9.098
Li Ag Br
1 2 1
direct
0.000 0.000 0.000
0.500 0.500 0.236
0.500 0.500 0.764
0.000 0.000 0.500
```

Results
The calculation puts the size of the total moment at 0.00 μB/cell. The value obtained for the raw formation energy is 32 meV per atom. The energy above the most stable polymorph in this dataset comes out at 1.855 eV per formula unit. The crystal system is orthorhombic.



Record 2
First-principles (PBE) data for crystalline LiAg2Br at its relaxed geometry, as listed in Alexandria via LeMat-Bulk.

Geometry as POSCAR:
```
LiAg2Br
1.0
1.686 0.973 8.525
-1.686 0.973 8.525
0.000 -1.946 8.525
Li Ag Br
1 2 1
direct
0.000 0.000 0.000
0.251 0.251 0.251
0.749 0.749 0.749
0.500 0.500 0.500
```

Results
The calculation puts the size of the total moment at 0.00 μB/cell. The value obtained for the raw formation energy is 28 meV per atom. The energy above the most stable polymorph in this dataset comes out at 1.838 eV per formula unit. The crystal system is trigonal.



Record 3
First-principles (PBE) data for crystalline Li2AgBr at its relaxed geometry, as listed in Alexandria via LeMat-Bulk.

Geometry as POSCAR:
```
Li2AgBr
1.0
6.662 -1.818 0.000
6.662 1.818 0.000
-0.095 0.000 3.633
Li Ag Br
2 1 1
direct
0.000 0.000 0.000
0.646 0.646 0.513
0.217 0.217 0.020
0.455 0.455 0.495
```

Results
The calculation puts the size of the total moment at 0.00 μB/cell. The value obtained for the raw formation energy is -644 meV per atom. The energy above the most stable polymorph in this dataset comes out at 0.043 eV per formula unit. The crystal system is monoclinic.



Record 4
First-principles (PBE) data for crystalline LiAg2Br at its relaxed geometry, as listed in Alexandria via LeMat-Bulk.

Geometry as POSCAR:
```
LiAg2Br
1.0
3.733 0.000 0.000
0.000 3.904 0.000
0.000 0.000 6.247
Li Ag Br
1 2 1
direct
0.000 0.000 0.000
0.000 0.500 0.500
0.500 0.000 0.500
0.500 0.500 0.000
```

Results
The calculation puts the size of the total moment at 0.00 μB/cell. The value obtained for the raw formation energy is -357 meV per atom. The energy above the most stable polymorph in this dataset comes out at 0.298 eV per formula unit. The crystal system is orthorhombic.



Record 5
First-principles (PBE) data for crystalline Li3Ag3Br8 at its relaxed geometry, as listed in Alexandria via LeMat-Bulk.

Geometry as POSCAR:
```
Li3Ag3Br8
1.0
4.065 2.347 6.465
-4.065 2.347 6.465
0.000 -4.694 6.465
Li Ag Br
3 3 8
direct
0.000 0.000 0.000
0.382 0.382 0.382
0.618 0.618 0.618
0.000 0.000 0.500
0.000 0.500 0.000
0.500 0.000 0.000
0.231 0.759 0.759
0.241 0.241 0.769
0.241 0.769 0.241
0.250 0.250 0.250
0.750 0.750 0.750
0.759 0.231 0.759
0.759 0.759 0.231
0.769 0.241 0.241
```

Results
The calculation puts the size of the total moment at 0.01 μB/cell. The value obtained for the raw formation energy is -760 meV per atom. The crystal system is trigonal.



Record 6
First-principles (PBE) data for crystalline Li3AgBr4 at its relaxed geometry, as listed in Alexandria via LeMat-Bulk.

Geometry as POSCAR:
```
Li3AgBr4
1.0
3.968 -5.640 0.000
3.968 5.640 0.000
0.000 0.000 3.969
Li Ag Br
3 1 4
direct
0.000 0.000 0.000
0.000 0.500 0.500
0.500 0.000 0.500
0.500 0.500 0.000
0.238 0.238 0.500
0.244 0.756 0.000
0.756 0.244 0.000
0.762 0.762 0.500
```

Results
The calculation puts the size of the total moment at 0.00 μB/cell. The value obtained for the raw formation energy is -1204 meV per atom. The energy above the most stable polymorph in this dataset comes out at 0.328 eV per formula unit. The crystal system is orthorhombic.



Record 7
First-principles (PBE) data for crystalline Li2AgBr at its relaxed geometry, as listed in Alexandria via LeMat-Bulk.

Geometry as POSCAR:
```
Li2AgBr
1.0
0.000 3.486 3.486
3.486 0.000 3.486
3.486 3.486 0.000
Li Ag Br
2 1 1
direct
0.000 0.000 0.000
0.250 0.250 0.250
0.500 0.500 0.500
0.750 0.750 0.750
```

Results
The calculation puts the size of the total moment at 0.00 μB/cell. The value obtained for the raw formation energy is -209 meV per atom. The energy above the most stable polymorph in this dataset comes out at 1.783 eV per formula unit. The crystal system is cubic.



Record 8
First-principles (PBE) data for crystalline Li2MnAgBr6 at its relaxed geometry, as listed in Alexandria via LeMat-Bulk.

Geometry as POSCAR:
```
Li2MnAgBr6
1.0
6.706 0.000 0.000
3.158 6.043 0.000
3.127 1.732 6.279
Li Mn Ag Br
2 1 1 6
direct
0.000 0.000 0.000
0.479 0.461 0.533
0.674 0.664 0.973
0.190 0.172 0.441
0.039 0.756 0.749
0.293 0.597 0.208
0.399 0.070 0.734
0.609 0.877 0.216
0.751 0.427 0.748
0.887 0.265 0.243
```

Results
The calculation puts the size of the total moment at 4.00 μB/cell. The value obtained for the raw formation energy is -913 meV per atom. The crystal system is triclinic.